Record 1
Density functional theory data (PBE) for Li3VPd4 after structural relaxation.

```
16
Lattice="4.2830 0.0000 0.0000 0.0000 4.2830 0.0000 0.0000 0.0000 11.9646" Properties=species:S:1:pos:R:3 pbc="T T T"
Li 0.0000 0.0000 0.0000
Li 0.0000 0.0000 2.9452
Li 0.0000 0.0000 9.0194
Li 2.1415 2.1415 3.0371
Li 2.1415 2.1415 5.9823
Li 2.1415 2.1415 8.9275
V 0.0000 0.0000 5.9823
V 2.1415 2.1415 0.0000
Pd 0.0000 2.1415 1.4901
Pd 0.0000 2.1415 4.4922
Pd 0.0000 2.1415 7.4724
Pd 0.0000 2.1415 10.4745
Pd 2.1415 0.0000 1.4901
Pd 2.1415 0.0000 4.4922
Pd 2.1415 0.0000 7.4724
Pd 2.1415 0.0000 10.4745
```

Crystal system: tetragonal
Space-group type: No. 139
Energy relative to the elements: -0.349 eV/atom
Spin magnetization: 3.3 μB/cell

=====

Record 2
Density functional theory data (PBE) for TlVCr2 after structural relaxation.

```
16
Lattice="3.8381 0.0000 0.0000 0.0000 3.8381 0.0000 0.0000 0.0000 18.0641" Properties=species:S:1:pos:R:3 pbc="T T T"
Tl 0.0000 0.0000 0.0000
Tl 0.0000 1.9190 4.5160
Tl 1.9190 0.0000 13.5481
Tl 1.9190 1.9190 9.0321
V 0.0000 0.0000 9.0321
V 0.0000 1.9190 13.5481
V 1.9190 0.0000 4.5160
V 1.9190 1.9190 0.0000
Cr 0.6213 2.8786 11.2901
Cr 0.9595 0.6213 6.7740
Cr 0.9595 1.2977 15.8061
Cr 1.2977 2.8786 2.2580
Cr 2.5404 0.9595 2.2580
Cr 2.8786 2.5404 15.8061
Cr 2.8786 3.2167 6.7740
Cr 3.2167 0.9595 11.2901
```

Crystal system: tetragonal
Energy above the lowest structure with this stoichiometry: 0.551 eV per atom
Space-group type: No. 122
Energy relative to the elements: 1.038 eV/atom
Spin magnetization: 0.0 μB/cell

=====

Record 3
Density functional theory data (PBE) for VGe2Au after structural relaxation.

```
16
Lattice="6.4094 0.0000 0.0000 0.0000 6.4094 0.0000 0.0000 0.0000 6.4094" Properties=species:S:1:pos:R:3 pbc="T T T"
V 0.0000 0.0000 0.0000
V 0.0000 3.2047 3.2047
V 3.2047 0.0000 3.2047
V 3.2047 3.2047 0.0000
Ge 1.6023 1.6023 1.6023
Ge 1.6023 1.6023 4.8070
Ge 1.6023 4.8070 1.6023
Ge 1.6023 4.8070 4.8070
Ge 4.8070 1.6023 1.6023
Ge 4.8070 1.6023 4.8070
Ge 4.8070 4.8070 1.6023
Ge 4.8070 4.8070 4.8070
Au 0.0000 0.0000 3.2047
Au 0.0000 3.2047 0.0000
Au 3.2047 0.0000 0.0000
Au 3.2047 3.2047 3.2047
```

Crystal system: cubic
Energy above the lowest structure with this stoichiometry: 0.303 eV per atom
Space-group type: No. 225
Energy relative to the elements: 0.301 eV/atom
Spin magnetization: 2.2 μB/cell